DFT (PBE) results for a relaxed Sc6AsS3N2 crystal.

Computed properties:
Space group ... C2/m
Formation energy without anion corrections ... -20.76 eV per formula unit

Unit cell a=3.5202 b=7.2506 c=8.0403 alpha=103.78 beta=102.64 gamma=90.00
Closest atoms and distances in Å follow each position.
Element x y z (fractional)
Sc1 0.0239 0.2695 0.0479  1 N 2.25, 2 S 2.52
S1 0.1619 0.8313 0.3239  5 Sc 2.52-2.76
S2 0.5000 0.5000 0.0000  6 Sc 2.52-2.76
N1 0.8282 0.6591 0.6563  6 Sc 2.25-2.37
S3 0.8381 0.1687 0.6761  5 Sc 2.52-2.76
N2 0.1718 0.3409 0.3437  6 Sc 2.25-2.37
As1 0.5000 0.0000 0.0000  6 Sc 2.59-2.66
Sc2 0.3258 0.8704 0.6517  2 N 2.34, 1 S 2.52
Sc3 0.6806 0.5635 0.3612  3 N 2.25-2.37
Sc4 0.3194 0.4365 0.6388  3 N 2.25-2.37
Sc5 0.9761 0.7305 0.9521  1 N 2.25, 2 S 2.52
Sc6 0.6742 0.1296 0.3483  2 N 2.34, 1 S 2.52



DFT (PBE) results for a relaxed ScAsSN2 crystal.

Computed properties:
Space group ... P4/mmm
Formation energy without anion corrections ... 1.76 eV per formula unit

Unit cell a=3.7892 b=3.7892 c=4.8005 alpha=90.00 beta=90.00 gamma=90.00
Closest atoms and distances in Å follow each position.
Element x y z (fractional)
N1 0.0000 0.5000 0.0000  2 As 1.89
Sc1 0.5000 0.5000 0.5000  4 S 2.68
S1 0.0000 0.0000 0.5000  2 As 2.40, 4 Sc 2.68
As1 0.0000 0.0000 0.0000  4 N 1.89
N2 0.5000 0.0000 0.0000  2 As 1.89



DFT (PBE) results for a relaxed AsSeSN2 crystal.

Computed properties:
Space group ... P4/mmm
Formation energy without anion corrections ... 7.36 eV per formula unit

Unit cell a=3.5491 b=3.5491 c=7.5774 alpha=90.00 beta=90.00 gamma=90.00
Closest atoms and distances in Å follow each position.
Element x y z (fractional)
S1 0.0000 0.0000 0.0000  4 N 1.77
As1 0.5000 0.5000 0.5000  4 Se 2.51
Se1 0.0000 0.0000 0.5000  4 As 2.51
N1 0.5000 0.0000 0.0000  2 S 1.77
N2 0.0000 0.5000 0.0000  2 S 1.77



DFT (PBE) results for a relaxed AsSeSN2 crystal.

Computed properties:
Space group ... P4/mmm
Formation energy without anion corrections ... 8.13 eV per formula unit

Unit cell a=3.8170 b=3.8170 c=4.9646 alpha=90.00 beta=90.00 gamma=90.00
Closest atoms and distances in Å follow each position.
Element x y z (fractional)
N1 0.5000 0.0000 0.0000  2 Se 1.91
Se1 0.0000 0.0000 0.0000  4 N 1.91
N2 0.0000 0.5000 0.0000  2 Se 1.91
S1 0.0000 0.0000 0.5000  2 Se 2.48, 4 As 2.70
As1 0.5000 0.5000 0.5000  4 S 2.70



DFT (PBE) results for a relaxed AsSeSN2 crystal.

Computed properties:
Space group ... P4/mmm
Formation energy without anion corrections ... 6.47 eV per formula unit

Unit cell a=3.6284 b=3.6284 c=6.7197 alpha=90.00 beta=90.00 gamma=90.00
Closest atoms and distances in Å follow each position.
Element x y z (fractional)
S1 0.5000 0.5000 0.5000  4 Se 2.57
N1 0.0000 0.5000 0.0000  2 As 1.81
Se1 0.0000 0.0000 0.5000  4 S 2.57
As1 0.0000 0.0000 0.0000  4 N 1.81
N2 0.5000 0.0000 0.0000  2 As 1.81



DFT (PBE) results for a relaxed SiAsSN2 crystal.

Computed properties:
Space group ... P4/mmm
Formation energy without anion corrections ... 3.25 eV per formula unit

Unit cell a=3.5740 b=3.5740 c=4.8599 alpha=90.00 beta=90.00 gamma=90.00
Closest atoms and distances in Å follow each position.
Element x y z (fractional)
As1 0.5000 0.5000 0.5000  4 S 2.53
N1 0.0000 0.5000 0.0000  2 Si 1.79
Si1 0.0000 0.0000 0.0000  4 N 1.79
S1 0.0000 0.0000 0.5000  2 Si 2.43, 4 As 2.53
N2 0.5000 0.0000 0.0000  2 Si 1.79



DFT (PBE) results for a relaxed SiAsSN2 crystal.

Computed properties:
Space group ... P4/mmm
Formation energy without anion corrections ... 6.31 eV per formula unit

Unit cell a=3.7039 b=3.7039 c=5.0257 alpha=90.00 beta=90.00 gamma=90.00
Closest atoms and distances in Å follow each position.
Element x y z (fractional)
N1 0.5000 0.0000 0.0000  2 As 1.85
Si1 0.5000 0.5000 0.5000  4 S 2.62
N2 0.0000 0.5000 0.0000  2 As 1.85
As1 0.0000 0.0000 0.0000  4 N 1.85
S1 0.0000 0.0000 0.5000  2 As 2.51, 4 Si 2.62



DFT (PBE) results for a relaxed Sm3AsSN crystal.

Computed properties:
Space group ... P2_1/m
Formation energy without anion corrections ... -9.22 eV per formula unit

Unit cell a=4.0348 b=8.3168 c=9.1696 alpha=100.14 beta=90.00 gamma=90.00
Closest atoms and distances in Å follow each position.
Element x y z (fractional)
S1 0.2500 0.6502 0.1487  5 Sm 2.78-2.90
Sm1 0.2500 0.0985 0.8455  1 N 2.22
As1 0.2500 0.1723 0.2010  5 Sm 2.89-3.21
As2 0.7500 0.8277 0.7990  5 Sm 2.89-3.21
Sm2 0.7500 0.1721 0.5102  3 N 2.29-2.32
Sm3 0.2500 0.5913 0.8406  3 S 2.78-2.86, 2 As 2.89
Sm4 0.2500 0.8279 0.4898  3 N 2.29-2.32
S2 0.7500 0.3498 0.8513  5 Sm 2.78-2.90
Sm5 0.7500 0.4087 0.1594  3 S 2.78-2.86, 2 As 2.89
N1 0.2500 0.0960 0.6025  4 Sm 2.22-2.32
Sm6 0.7500 0.9015 0.1545  1 N 2.22
N2 0.7500 0.9040 0.3975  4 Sm 2.22-2.32



DFT (PBE) results for a relaxed Sm6AsS3N2 crystal.

Computed properties:
Space group ... C2/m
Formation energy without anion corrections ... -20.69 eV per formula unit

Unit cell a=3.8680 b=7.9380 c=8.8058 alpha=104.18 beta=102.69 gamma=90.00
Closest atoms and distances in Å follow each position.
Element x y z (fractional)
Sm1 0.6781 0.5650 0.3562  3 N 2.51-2.63
Sm2 0.9816 0.7350 0.9632  1 N 2.54, 2 S 2.76, 2 As 2.82
S1 0.1619 0.8311 0.3237  6 Sm 2.78-3.00
As1 0.5000 0.0000 0.0000  6 Sm 2.82-2.87
N1 0.1711 0.3373 0.3423  6 Sm 2.51-2.63
S2 0.8381 0.1689 0.6763  6 Sm 2.78-3.00
Sm3 0.3219 0.4350 0.6438  3 N 2.51-2.63
Sm4 0.6723 0.1195 0.3446  2 N 2.60, 1 S 2.78, 1 As 2.87
N2 0.8289 0.6627 0.6577  6 Sm 2.51-2.63
S3 0.5000 0.5000 0.0000  6 Sm 2.76-2.97
Sm5 0.0184 0.2650 0.0368  1 N 2.54, 2 S 2.76, 2 As 2.82
Sm6 0.3277 0.8805 0.6554  2 N 2.60, 1 S 2.78, 1 As 2.87



DFT (PBE) results for a relaxed SnAsSN2 crystal.

Computed properties:
Space group ... P4/mmm
Formation energy without anion corrections ... 4.92 eV per formula unit

Unit cell a=3.8727 b=3.8727 c=4.9796 alpha=90.00 beta=90.00 gamma=90.00
Closest atoms and distances in Å follow each position.
Element x y z (fractional)
Sn1 0.5000 0.5000 0.5000  4 S 2.74
N1 0.5000 0.0000 0.0000  2 As 1.94
As1 0.0000 0.0000 0.0000  4 N 1.94
S1 0.0000 0.0000 0.5000  2 As 2.49, 4 Sn 2.74
N2 0.0000 0.5000 0.0000  2 As 1.94



DFT (PBE) results for a relaxed SnAsSN2 crystal.

Computed properties:
Space group ... P4/mmm
Formation energy without anion corrections ... 7.00 eV per formula unit

Unit cell a=4.0987 b=4.0987 c=5.2217 alpha=90.00 beta=90.00 gamma=90.00
Closest atoms and distances in Å follow each position.
Element x y z (fractional)
S1 0.0000 0.0000 0.5000  2 Sn 2.61, 4 As 2.90
N1 0.0000 0.5000 0.0000  2 Sn 2.05
As1 0.5000 0.5000 0.5000  4 S 2.90
N2 0.5000 0.0000 0.0000  2 Sn 2.05
Sn1 0.0000 0.0000 0.0000  4 N 2.05



DFT (PBE) results for a relaxed SnAsS2N crystal.

Computed properties:
Space group ... P4/mmm
Formation energy without anion corrections ... 2.77 eV per formula unit

Unit cell a=4.9597 b=4.9597 c=3.6925 alpha=90.00 beta=90.00 gamma=90.00
Closest atoms and distances in Å follow each position.
Element x y z (fractional)
S1 0.5000 0.0000 0.0000  2 As 2.48
Sn1 0.5000 0.5000 0.5000  8 S 3.09
S2 0.0000 0.5000 0.0000  2 As 2.48
As1 0.0000 0.0000 0.0000  2 N 1.85
N1 0.0000 0.0000 0.5000  2 As 1.85